(1)
VASP calculation (PBE) on Pr3ZnIr3 after structural relaxation.

a = 4.2946 Å, b = 10.5297 Å, c = 14.0666 Å
α = 90.00°, β = 90.00°, γ = 90.00°
Closest atoms and distances in Å follow each position.
Space group Cmcm (No. 63)
Inequivalent atoms, fractional coordinates:
Pr1 0.0000 0.0106 0.2500 [4 per cell]  7 Ir 3.01-3.21
Pr2 0.0000 0.2944 0.1045 [8 per cell]  6 Ir 3.01-3.10
Zn1 0.0000 0.0000 0.0000 [4 per cell]  4 Ir 2.64
Ir1 0.0000 0.2757 0.7500 [4 per cell]  2 Ir 2.71, 1 Pr 3.01
Ir2 0.0000 0.4168 0.5891 [8 per cell]  2 Zn 2.64, 1 Ir 2.71

Properties
For the density of states at the Fermi level, the calculation gives 23.02 states/eV/cell. Its formation energy is -4.27 eV per formula unit. As for the calculated total energy: -185.9 eV for the cell shown.

=====

(2)
VASP calculation (PBE) on BaPdSeN2 after structural relaxation.

a = 4.3462 Å, b = 4.3462 Å, c = 5.2091 Å
α = 90.00°, β = 90.00°, γ = 90.00°
Closest atoms and distances in Å follow each position.
Space group P4/mmm (No. 123)
Inequivalent atoms, fractional coordinates:
Ba1 0.0000 0.0000 0.0000 [1 per cell]  4 Se 3.07, 8 N 3.39
Pd1 0.5000 0.5000 0.5000 [1 per cell]  4 N 2.17
Se1 0.5000 0.5000 0.0000 [1 per cell]  2 Pd 2.60
N1 0.0000 0.5000 0.5000 [2 per cell]  2 Pd 2.17

Properties
For the density of states at the Fermi level, the calculation gives 2.30 states/eV/cell. As for the polymorph energy (0 for the lowest one): 0 meV/atom. As for the calculated total energy: -24.5 eV for the cell shown. The calculation puts the uncorrected formation energy at 0.544 eV/atom.

=====

no.,ρ (g/cm3),total magnetic moment (μB per formula unit)
1,11.12,0.00
2,5.92,2.97